[1]
## SrLaAg2 (meta-GGA SCAN)

Data for a crystal of SrLaAg2 relaxed with PBEsol.

raw total energy	-129.33	eV for the cell shown
crystal system	tetragonal
ρ	6.69	Mg/m³
DFT formation energy	-29.2	kJ/mol of atoms

Cell: 3.775 3.775 7.701 Å, 90.00 90.00 90.00°
Positions (direct):
Ag 0.000 0.000 0.775
Ag 0.000 0.000 0.225
La 0.500 0.500 0.000
Sr 0.500 0.500 0.500

---

[2]
## Zr3SnW (meta-GGA SCAN)

Data for a crystal of Zr3SnW relaxed with PBEsol.

raw total energy	-189.86	eV for the cell shown
crystal system	cubic
ρ	7.24	Mg/m³
DFT formation energy	151.5	kJ/mol of atoms

Cell: 5.094 5.094 5.094 Å, 90.00 90.00 90.00°
Positions (direct):
Zr 0.000 0.500 0.000
Zr 0.500 0.000 0.000
Zr 0.000 0.000 0.500
W 0.500 0.500 0.500
Sn 0.000 0.000 0.000

---

> Look up the ρ of the first one.

6.69 Mg/m³

---

> Which formula does entry 2 have?

Zr3SnW

---

Please write out number 1 again, unchanged.
## SrLaAg2 (meta-GGA SCAN)

Data for a crystal of SrLaAg2 relaxed with PBEsol.

raw total energy	-129.33	eV for the cell shown
crystal system	tetragonal
ρ	6.69	Mg/m³
DFT formation energy	-29.2	kJ/mol of atoms

Cell: 3.775 3.775 7.701 Å, 90.00 90.00 90.00°
Positions (direct):
Ag 0.000 0.000 0.775
Ag 0.000 0.000 0.225
La 0.500 0.500 0.000
Sr 0.500 0.500 0.500